(1)
Here is LiCe2Sn after structural relaxation from the Alexandria database. Energies are from GGA-PBE.

Calculated values
Energy relative to the elements in kJ per mole of atoms: -21.2
Space group: Fm-3m, No. 225
Volume in Å³ per cell: 109.48
Total energy in eV/atom: -4.666

abc: 5.370 5.370 5.370
angles: 60.00 60.00 60.00
Sites, in units of the cell vectors:
Li (0.000, 0.000, 0.000)
Ce (0.250, 0.250, 0.250)
Ce (0.750, 0.750, 0.750)
Sn (0.500, 0.500, 0.500)

=====

(2)
Here is Li3CeSn2 after structural relaxation from the Alexandria database. Energies are from GGA-PBE.

Calculated values
Energy relative to the elements in kJ per mole of atoms: -42.9
Space group: C2/m, No. 12
Volume in Å³ per cell: 263.34
Total energy in eV/atom: -3.725

abc: 8.860 8.860 7.181
angles: 110.59 110.59 30.11
Sites, in units of the cell vectors:
Li (0.069, 0.069, 0.167)
Li (0.310, 0.310, 0.600)
Li (0.356, 0.356, 0.991)
Li (0.644, 0.644, 0.009)
Li (0.690, 0.690, 0.400)
Li (0.931, 0.931, 0.833)
Ce (0.124, 0.124, 0.674)
Ce (0.876, 0.876, 0.326)
Sn (0.232, 0.232, 0.190)
Sn (0.486, 0.486, 0.691)
Sn (0.514, 0.514, 0.309)
Sn (0.768, 0.768, 0.810)

=====

(3)
Here is LiCe2Sn after structural relaxation from the Alexandria database. Energies are from GGA-PBE.

Calculated values
Energy relative to the elements in kJ per mole of atoms: -31.4
Space group: P4/mmm, No. 123
Volume in Å³ per cell: 96.62
Total energy in eV/atom: -4.771

abc: 4.439 4.439 4.903
angles: 90.00 90.00 90.00
Sites, in units of the cell vectors:
Li (0.000, 0.000, 0.000)
Ce (0.000, 0.500, 0.500)
Ce (0.500, 0.000, 0.500)
Sn (0.500, 0.500, 0.000)

=====

(4)
Here is LiCeSn2 after structural relaxation from the Alexandria database. Energies are from GGA-PBE.

Calculated values
Energy relative to the elements in kJ per mole of atoms: -43.8
Space group: P4/mmm, No. 123
Volume in Å³ per cell: 94.60
Total energy in eV/atom: -4.417

abc: 3.556 3.556 7.483
angles: 90.00 90.00 90.00
Sites, in units of the cell vectors:
Li (0.000, 0.000, 0.000)
Ce (0.000, 0.000, 0.500)
Sn (0.500, 0.500, 0.210)
Sn (0.500, 0.500, 0.790)

=====

(5)
Here is SrLi2CeSn2 after structural relaxation from the Alexandria database. Energies are from GGA-PBE.

Calculated values
Energy relative to the elements in kJ per mole of atoms: -55.1
Space group: P-3m1, No. 164
Volume in Å³ per cell: 162.39
Total energy in eV/atom: -3.812

abc: 4.872 4.872 7.900
angles: 90.00 90.00 120.00
Sites, in units of the cell vectors:
Sr (0.000, 0.000, 0.000)
Li (0.333, 0.667, 0.708)
Li (0.667, 0.333, 0.292)
Ce (0.000, 0.000, 0.500)
Sn (0.333, 0.667, 0.290)
Sn (0.667, 0.333, 0.710)

=====

(6)
Here is SrLiCeSn after structural relaxation from the Alexandria database. Energies are from GGA-PBE.

Calculated values
Energy relative to the elements in kJ per mole of atoms: -25.4
Space group: F-43m, No. 216
Volume in Å³ per cell: 121.45
Total energy in eV/atom: -3.646

abc: 5.559 5.559 5.559
angles: 60.00 60.00 60.00
Sites, in units of the cell vectors:
Sr (0.000, 0.000, 0.000)
Li (0.250, 0.250, 0.250)
Ce (0.500, 0.500, 0.500)
Sn (0.750, 0.750, 0.750)

=====

(7)
Here is Li2TbCe2Sn2 after structural relaxation from the Alexandria database. Energies are from GGA-PBE.

Calculated values
Energy relative to the elements in kJ per mole of atoms: -41.0
Space group: R-3m, No. 166
Volume in Å³ per cell: 168.06
Total energy in eV/atom: -4.472

abc: 9.457 9.457 9.457
angles: 28.31 28.31 28.31
Sites, in units of the cell vectors:
Li (0.091, 0.091, 0.091)
Li (0.909, 0.909, 0.909)
Tb (0.500, 0.500, 0.500)
Ce (0.357, 0.357, 0.357)
Ce (0.643, 0.643, 0.643)
Sn (0.234, 0.234, 0.234)
Sn (0.766, 0.766, 0.766)

=====

(8)
Here is LiTbCeSn after structural relaxation from the Alexandria database. Energies are from GGA-PBE.

Calculated values
Energy relative to the elements in kJ per mole of atoms: -30.7
Space group: F-43m, No. 216
Volume in Å³ per cell: 106.05
Total energy in eV/atom: -4.438

abc: 5.313 5.313 5.313
angles: 60.00 60.00 60.00
Sites, in units of the cell vectors:
Li (0.000, 0.000, 0.000)
Tb (0.250, 0.250, 0.250)
Ce (0.750, 0.750, 0.750)
Sn (0.500, 0.500, 0.500)

=====

(9)
Here is Li2Ce2ThSn2 after structural relaxation from the Alexandria database. Energies are from GGA-PBE.

Calculated values
Energy relative to the elements in kJ per mole of atoms: -34.7
Space group: R-3m, No. 166
Volume in Å³ per cell: 171.67
Total energy in eV/atom: -4.805

abc: 9.760 9.760 9.760
angles: 27.22 27.22 27.22
Sites, in units of the cell vectors:
Li (0.087, 0.087, 0.087)
Li (0.913, 0.913, 0.913)
Ce (0.356, 0.356, 0.356)
Ce (0.644, 0.644, 0.644)
Th (0.500, 0.500, 0.500)
Sn (0.236, 0.236, 0.236)
Sn (0.764, 0.764, 0.764)

=====

(10)
Here is LiCeTmSn after structural relaxation from the Alexandria database. Energies are from GGA-PBE.

Calculated values
Energy relative to the elements in kJ per mole of atoms: -28.8
Space group: F-43m, No. 216
Volume in Å³ per cell: 103.23
Total energy in eV/atom: -4.379

abc: 5.265 5.265 5.265
angles: 60.00 60.00 60.00
Sites, in units of the cell vectors:
Li (0.000, 0.000, 0.000)
Ce (0.750, 0.750, 0.750)
Tm (0.250, 0.250, 0.250)
Sn (0.500, 0.500, 0.500)

=====

(11)
Here is Li2CeTm2Sn2 after structural relaxation from the Alexandria database. Energies are from GGA-PBE.

Calculated values
Energy relative to the elements in kJ per mole of atoms: -38.3
Space group: R-3m, No. 166
Volume in Å³ per cell: 176.95
Total energy in eV/atom: -4.212

abc: 9.230 9.230 9.230
angles: 30.26 30.26 30.26
Sites, in units of the cell vectors:
Li (0.086, 0.086, 0.086)
Li (0.914, 0.914, 0.914)
Ce (0.500, 0.500, 0.500)
Tm (0.369, 0.369, 0.369)
Tm (0.631, 0.631, 0.631)
Sn (0.241, 0.241, 0.241)
Sn (0.759, 0.759, 0.759)

=====

(12)
Here is Li2CeY2Sn2 after structural relaxation from the Alexandria database. Energies are from GGA-PBE.

Calculated values
Energy relative to the elements in kJ per mole of atoms: -41.1
Space group: R-3m, No. 166
Volume in Å³ per cell: 181.69
Total energy in eV/atom: -4.811

abc: 9.406 9.406 9.406
angles: 29.77 29.77 29.77
Sites, in units of the cell vectors:
Li (0.091, 0.091, 0.091)
Li (0.909, 0.909, 0.909)
Ce (0.500, 0.500, 0.500)
Y (0.370, 0.370, 0.370)
Y (0.630, 0.630, 0.630)
Sn (0.240, 0.240, 0.240)
Sn (0.760, 0.760, 0.760)

=====

(13)
Here is LiCeZnSn after structural relaxation from the Alexandria database. Energies are from GGA-PBE.

Calculated values
Energy relative to the elements in kJ per mole of atoms: -35.3
Space group: F-43m, No. 216
Volume in Å³ per cell: 92.15
Total energy in eV/atom: -3.647

abc: 5.070 5.070 5.070
angles: 60.00 60.00 60.00
Sites, in units of the cell vectors:
Li (0.000, 0.000, 0.000)
Ce (0.500, 0.500, 0.500)
Zn (0.750, 0.750, 0.750)
Sn (0.250, 0.250, 0.250)

=====

(14)
Here is SrLi4Ce after structural relaxation from the Alexandria database. Energies are from GGA-PBE.

Calculated values
Energy relative to the elements in kJ per mole of atoms: 18.5
Space group: F-43m, No. 216
Volume in Å³ per cell: 168.99
Total energy in eV/atom: -2.354

abc: 6.206 6.206 6.206
angles: 60.00 60.00 60.00
Sites, in units of the cell vectors:
Sr (0.000, 0.000, 0.000)
Li (0.127, 0.624, 0.624)
Li (0.624, 0.127, 0.624)
Li (0.624, 0.624, 0.127)
Li (0.624, 0.624, 0.624)
Ce (0.250, 0.250, 0.250)

=====

(15)
Here is Sr2LiCeTe4 after structural relaxation from the Alexandria database. Energies are from GGA-PBE.

Calculated values
ΔE_f (raw) in kJ per mole of atoms: -140
Space group: P2/m, No. 10
Volume in Å³ per cell: 277.08
Total energy in eV/atom: -4.426

abc: 7.933 4.639 7.967
angles: 90.00 109.08 90.00
Sites, in units of the cell vectors:
Sr (0.000, 0.000, 0.000)
Sr (0.500, 0.500, 0.000)
Li (0.000, 0.500, 0.500)
Ce (0.500, 0.000, 0.500)
Te (0.245, 0.000, 0.733)
Te (0.251, 0.500, 0.266)
Te (0.749, 0.500, 0.734)
Te (0.755, 0.000, 0.267)

=====

(16)
Here is SrLiCe2Te4 after structural relaxation from the Alexandria database. Energies are from GGA-PBE.

Calculated values
ΔE_f (raw) in kJ per mole of atoms: -131
Space group: Imma, No. 74
Volume in Å³ per cell: 533.76
Total energy in eV/atom: -4.864

abc: 9.105 9.105 9.105
angles: 120.27 119.71 90.01
Sites, in units of the cell vectors:
Sr (0.500, 0.000, 0.000)
Sr (0.500, 0.500, 0.500)
Li (0.000, 0.000, 0.000)
Li (0.500, 0.000, 0.500)
Ce (0.000, 0.000, 0.500)
Ce (0.000, 0.500, 0.000)
Ce (0.000, 0.500, 0.500)
Ce (0.500, 0.500, 0.000)
Te (0.241, 0.247, 0.994)
Te (0.246, 0.241, 0.495)
Te (0.246, 0.751, 0.005)
Te (0.247, 0.753, 0.494)
Te (0.753, 0.247, 0.506)
Te (0.754, 0.249, 0.995)
Te (0.754, 0.759, 0.505)
Te (0.759, 0.753, 0.006)

=====

(17)
Here is SrLiCe2Tl4 after structural relaxation from the Alexandria database. Energies are from GGA-PBE.

Calculated values
Energy relative to the elements in kJ per mole of atoms: -24.0
Space group: R-3m, No. 166
Volume in Å³ per cell: 234.61
Total energy in eV/atom: -3.365

abc: 9.666 9.666 9.666
angles: 32.71 32.71 32.71
Sites, in units of the cell vectors:
Sr (0.000, 0.000, 0.000)
Li (0.500, 0.500, 0.500)
Ce (0.245, 0.245, 0.245)
Ce (0.755, 0.755, 0.755)
Tl (0.128, 0.128, 0.128)
Tl (0.383, 0.383, 0.383)
Tl (0.617, 0.617, 0.617)
Tl (0.872, 0.872, 0.872)

=====

(18)
Here is LiTbCeTc after structural relaxation from the Alexandria database. Energies are from GGA-PBE.

Calculated values
Energy relative to the elements in kJ per mole of atoms: 0.1
Space group: F-43m, No. 216
Volume in Å³ per cell: 85.93
Total energy in eV/atom: -5.710

abc: 4.953 4.953 4.953
angles: 60.00 60.00 60.00
Sites, in units of the cell vectors:
Li (0.000, 0.000, 0.000)
Tb (0.750, 0.750, 0.750)
Ce (0.250, 0.250, 0.250)
Tc (0.500, 0.500, 0.500)

=====

(19)
Here is LiTb3Ce2Te6 after structural relaxation from the Alexandria database. Energies are from GGA-PBE.

Calculated values
ΔE_f (raw) in kJ per mole of atoms: -129
Space group: C2/m, No. 12
Volume in Å³ per cell: 362.20
Total energy in eV/atom: -5.211

abc: 9.858 9.858 8.864
angles: 103.40 103.40 25.65
Sites, in units of the cell vectors:
Li (0.000, 0.000, 0.000)
Tb (0.000, 0.000, 0.500)
Tb (0.330, 0.330, 0.169)
Tb (0.670, 0.670, 0.831)
Ce (0.332, 0.332, 0.664)
Ce (0.668, 0.668, 0.336)
Te (0.162, 0.162, 0.073)
Te (0.164, 0.164, 0.588)
Te (0.497, 0.497, 0.243)
Te (0.503, 0.503, 0.757)
Te (0.836, 0.836, 0.412)
Te (0.838, 0.838, 0.927)

=====

(20)
Here is Li2TbCeTe4 after structural relaxation from the Alexandria database. Energies are from GGA-PBE.

Calculated values
ΔE_f (raw) in kJ per mole of atoms: -121
Space group: P2/m, No. 10
Volume in Å³ per cell: 238.82
Total energy in eV/atom: -4.628

abc: 7.506 4.419 7.652
angles: 90.00 109.80 90.00
Sites, in units of the cell vectors:
Li (0.000, 0.000, 0.000)
Li (0.000, 0.500, 0.500)
Tb (0.500, 0.000, 0.500)
Ce (0.500, 0.500, 0.000)
Te (0.239, 0.000, 0.740)
Te (0.242, 0.500, 0.254)
Te (0.758, 0.500, 0.746)
Te (0.761, 0.000, 0.260)

=====

(21)
Here is LiTb2Ce3Te6 after structural relaxation from the Alexandria database. Energies are from GGA-PBE.

Calculated values
ΔE_f (raw) in kJ per mole of atoms: -128
Space group: C2/m, No. 12
Volume in Å³ per cell: 366.75
Total energy in eV/atom: -5.311

abc: 9.906 9.906 8.871
angles: 103.33 103.33 25.70
Sites, in units of the cell vectors:
Li (0.000, 0.000, 0.000)
Tb (0.333, 0.333, 0.663)
Tb (0.667, 0.667, 0.337)
Ce (0.000, 0.000, 0.500)
Ce (0.332, 0.332, 0.165)
Ce (0.668, 0.668, 0.835)
Te (0.161, 0.161, 0.089)
Te (0.168, 0.168, 0.580)
Te (0.498, 0.498, 0.763)
Te (0.502, 0.502, 0.237)
Te (0.832, 0.832, 0.420)
Te (0.839, 0.839, 0.911)

=====

(22)
Here is LiTbCe2Te4 after structural relaxation from the Alexandria database. Energies are from GGA-PBE.

Calculated values
ΔE_f (raw) in kJ per mole of atoms: -126
Space group: P2/m, No. 10
Volume in Å³ per cell: 244.21
Total energy in eV/atom: -5.182

abc: 7.643 4.409 7.681
angles: 90.00 109.37 90.00
Sites, in units of the cell vectors:
Li (0.000, 0.000, 0.000)
Tb (0.500, 0.500, 0.000)
Ce (0.000, 0.500, 0.500)
Ce (0.500, 0.000, 0.500)
Te (0.240, 0.500, 0.233)
Te (0.248, 0.000, 0.764)
Te (0.752, 0.000, 0.236)
Te (0.760, 0.500, 0.767)

=====

(23)
Here is LiTb3Ce4Te8 after structural relaxation from the Alexandria database. Energies are from GGA-PBE.

Calculated values
ΔE_f (raw) in kJ per mole of atoms: -128
Space group: R-3m, No. 166
Volume in Å³ per cell: 490.07
Total energy in eV/atom: -5.371

abc: 8.881 8.881 8.881
angles: 59.53 59.53 59.53
Sites, in units of the cell vectors:
Li (0.000, 0.000, 0.000)
Tb (0.000, 0.500, 0.500)
Tb (0.500, 0.000, 0.500)
Tb (0.500, 0.500, 0.000)
Ce (0.000, 0.000, 0.500)
Ce (0.000, 0.500, 0.000)
Ce (0.500, 0.000, 0.000)
Ce (0.500, 0.500, 0.500)
Te (0.241, 0.241, 0.752)
Te (0.241, 0.752, 0.241)
Te (0.248, 0.759, 0.759)
Te (0.253, 0.253, 0.253)
Te (0.747, 0.747, 0.747)
Te (0.752, 0.241, 0.241)
Te (0.759, 0.248, 0.759)
Te (0.759, 0.759, 0.248)

=====

(24)
Here is Li3Tb2CeTe6 after structural relaxation from the Alexandria database. Energies are from GGA-PBE.

Calculated values
ΔE_f (raw) in kJ per mole of atoms: -122
Space group: C2/m, No. 12
Volume in Å³ per cell: 355.20
Total energy in eV/atom: -4.584

abc: 7.620 7.620 7.507
angles: 99.73 99.73 120.01
Sites, in units of the cell vectors:
Li (0.000, 0.000, 0.000)
Li (0.333, 0.667, 0.000)
Li (0.667, 0.333, 0.000)
Tb (0.167, 0.833, 0.500)
Tb (0.833, 0.167, 0.500)
Ce (0.500, 0.500, 0.500)
Te (0.074, 0.414, 0.242)
Te (0.246, 0.246, 0.759)
Te (0.414, 0.074, 0.242)
Te (0.586, 0.926, 0.758)
Te (0.754, 0.754, 0.241)
Te (0.926, 0.586, 0.758)

=====

(25)
Here is LiTbCeTe3 after structural relaxation from the Alexandria database. Energies are from GGA-PBE.

Calculated values
ΔE_f (raw) in kJ per mole of atoms: -122
Space group: P2_1/m, No. 11
Volume in Å³ per cell: 361.28
Total energy in eV/atom: -4.918

abc: 9.017 4.306 9.584
angles: 90.00 103.88 90.00
Sites, in units of the cell vectors:
Li (0.086, 0.250, 0.086)
Li (0.914, 0.750, 0.914)
Tb (0.331, 0.750, 0.342)
Tb (0.669, 0.250, 0.658)
Ce (0.187, 0.250, 0.731)
Ce (0.813, 0.750, 0.269)
Te (0.092, 0.250, 0.372)
Te (0.231, 0.750, 0.003)
Te (0.432, 0.750, 0.676)
Te (0.568, 0.250, 0.324)
Te (0.769, 0.250, 0.997)
Te (0.908, 0.750, 0.628)